CaHfZnBr2 PBE optimized geometry; electronic total energy = -3.409 eV/atom; formation energy (no corrections) = -0.47 eV per formula unit
1.0
-0.101 -2.436 4.577
-5.926 -2.919 -1.684
2.562 -4.004 -2.074
Br Ca Zn Hf
2 1 1 1
Cartesian
-0.051 -1.218 2.289
1.281 -2.002 -1.037
-2.963 -1.459 -0.842
-1.733 -4.679 0.409
0.000 0.000 0.000

CsTmRu2O8 PBE optimized geometry; electronic total energy = -6.813 eV/atom; formation energy (no corrections) = -18.22 eV per formula unit
1.0
5.897 0.000 0.000
-2.948 5.107 0.000
0.000 0.000 8.545
Tm O Ru Cs
1 8 2 1
Cartesian
0.000 0.000 4.272
-1.322 4.479 5.628
2.948 1.702 0.568
4.270 0.627 2.916
-0.270 1.723 5.628
0.000 3.405 7.977
1.357 1.095 2.916
1.592 4.012 5.628
3.219 3.384 2.916
2.948 1.702 2.323
0.000 3.405 6.222
0.000 0.000 0.000

TbDy5Cu4 PBE optimized geometry; electronic total energy = -4.597 eV/atom; formation energy = -0.194 eV/atom
1.0
3.472 0.000 0.000
0.000 3.472 0.000
0.000 0.000 19.031
Cu Dy Tb
4 5 1
Cartesian
0.000 0.000 11.256
0.000 0.000 4.302
0.000 0.000 7.776
0.000 0.000 14.730
1.736 1.736 9.516
1.736 1.736 16.441
1.736 1.736 2.590
1.736 1.736 6.032
1.736 1.736 13.000
0.000 0.000 0.000

| no. | total magnetic moment (Bohr magnetons per cell) |
| --- | --- |
| 1 | 1.51 |
| 2 | 4.03 |
| 3 | 0.00 |